[1]
# Ho2InHg | the Alexandria database | PBE | optimized geometry
data_Ho2InHg
_chemical_formula_sum 'Ho2 In1 Hg1'
_space_group_name_H-M_alt 'P 4/m m m'
_space_group_IT_number 123
_space_group_name_Hall '-P 4 2'
_cell_length_a 3.7226
_cell_length_b 3.7226
_cell_length_c 7.4729
_cell_angle_alpha 90.00
_cell_angle_beta 90.00
_cell_angle_gamma 90.00
loop_
_atom_site_label
_atom_site_fract_x
_atom_site_fract_y
_atom_site_fract_z
Ho1 0.0000 0.0000 0.2442
In1 0.5000 0.5000 0.5000
Hg1 0.5000 0.5000 0.0000
# Energy of formation from the pure elements: -0.470 eV/atom

=====

[2]
# LaPr5Te4 | the Alexandria database | PBE | optimized geometry
data_LaPr5Te4
_chemical_formula_sum 'La2 Pr10 Te8'
_space_group_name_H-M_alt 'P m m n'
_space_group_IT_number 59
_cell_length_a 9.4837
_cell_length_b 10.2601
_cell_length_c 7.8575
_cell_angle_alpha 90.00
_cell_angle_beta 90.00
_cell_angle_gamma 90.00
loop_
_space_group_symop_operation_xyz
'x,y,z'
'-x,-y,-z'
'-x+1/2,-y+1/2,z'
'x+1/2,y+1/2,-z'
'x+1/2,-y,-z'
'-x+1/2,y,z'
'-x,y+1/2,-z'
'x,-y+1/2,z'
loop_
_atom_site_label
_atom_site_fract_x
_atom_site_fract_y
_atom_site_fract_z
La1 0.2500 0.2500 0.1461
Pr1 0.0457 0.0561 0.7563
Pr2 0.2500 0.7500 0.7763
Te1 0.0212 0.2500 0.4415
Te2 0.2500 0.5439 0.0609
# E_form (uncorrected): -8.92 eV per formula unit

=====

[3]
# BaSc3Ni | the Alexandria database | PBE | optimized geometry
data_BaSc3Ni
_chemical_formula_sum 'Ba1 Sc3 Ni1'
_space_group_name_H-M_alt 'P m -3 m'
_space_group_IT_number 221
_space_group_name_Hall '-P 4 2 3'
_cell_length_a 5.1397
_cell_length_b 5.1397
_cell_length_c 5.1397
_cell_angle_alpha 90.00
_cell_angle_beta 90.00
_cell_angle_gamma 90.00
loop_
_atom_site_label
_atom_site_fract_x
_atom_site_fract_y
_atom_site_fract_z
Ba1 0.0000 0.0000 0.0000
Sc1 0.0000 0.5000 0.5000
Ni1 0.5000 0.5000 0.5000
# ΔE to the lowest computed polymorph: 0 meV/atom
# Energy of formation from the pure elements: -0.009 eV/atom

=====

[4]
# Tl2PbCl | the Alexandria database | PBE | optimized geometry
data_Tl2PbCl
_chemical_formula_sum 'Tl4 Pb2 Cl2'
_space_group_name_H-M_alt 'C m m 2'
_space_group_IT_number 35
_cell_length_a 3.9220
_cell_length_b 5.8724
_cell_length_c 10.4044
_cell_angle_alpha 90.00
_cell_angle_beta 90.00
_cell_angle_gamma 90.00
loop_
_space_group_symop_operation_xyz
'x,y,z'
'-x,-y,z'
'-x,y,z'
'x,-y,z'
'x+1/2,y+1/2,z'
'-x+1/2,-y+1/2,z'
'-x+1/2,y+1/2,z'
'x+1/2,-y+1/2,z'
loop_
_atom_site_label
_atom_site_fract_x
_atom_site_fract_y
_atom_site_fract_z
Tl1 0.0000 0.0000 0.0000
Tl2 0.0000 0.5000 0.2792
Pb1 0.0000 0.0000 0.5517
Cl1 0.0000 0.5000 0.7799
# ΔE to the lowest computed polymorph: 87 meV/atom
# E_form (uncorrected): -1.07 eV per formula unit

=====

[5]
# Sc2MoOs | the Alexandria database | PBE | optimized geometry
data_Sc2MoOs
_chemical_formula_sum 'Sc2 Mo1 Os1'
_space_group_name_H-M_alt 'P 4/m m m'
_space_group_IT_number 123
_space_group_name_Hall '-P 4 2'
_cell_length_a 4.0164
_cell_length_b 4.0164
_cell_length_c 4.3789
_cell_angle_alpha 90.00
_cell_angle_beta 90.00
_cell_angle_gamma 90.00
loop_
_atom_site_label
_atom_site_fract_x
_atom_site_fract_y
_atom_site_fract_z
Sc1 0.0000 0.5000 0.0000
Mo1 0.0000 0.0000 0.5000
Os1 0.5000 0.5000 0.5000
# Energy of formation from the pure elements: 0.127 eV/atom

=====

[6]
# NbVTcSb | the Alexandria database | PBE | optimized geometry
data_NbVTcSb
_chemical_formula_sum 'Nb4 V4 Tc4 Sb4'
_space_group_name_H-M_alt 'F -4 3 m'
_space_group_IT_number 216
_space_group_name_Hall 'F -4 2 3'
_cell_length_a 6.4304
_cell_length_b 6.4304
_cell_length_c 6.4304
_cell_angle_alpha 90.00
_cell_angle_beta 90.00
_cell_angle_gamma 90.00
loop_
_atom_site_label
_atom_site_fract_x
_atom_site_fract_y
_atom_site_fract_z
Nb1 0.0000 0.0000 0.0000
V1 0.2500 0.2500 0.2500
Tc1 0.2500 0.2500 0.7500
Sb1 0.0000 0.0000 0.5000
# E_form (uncorrected): -0.27 eV per formula unit